Model one:
5
Lattice="-0.585 -3.751 2.010 4.204 -0.193 0.861 -0.736 2.318 4.112" Properties=species:S:1:pos:R:3 comment="TaCoPCl2 | Alexandria | PBE-GGA | relaxed" dos_ef_per_ev_fu=4.06 pbc="T T T"
P -0.368 1.159 2.056
Ta 1.442 -0.813 3.492
Cl 2.102 -0.097 0.431
Cl -0.292 -1.875 1.005
Co 0.000 0.000 0.000

Model two:
5
Lattice="-0.139 -1.311 -4.562 4.736 0.266 -0.221 0.333 -4.793 1.367" Properties=species:S:1:pos:R:3 comment="TaCoPCl2 | Alexandria | PBE-GGA | relaxed" dos_ef_per_ev_fu=7.19 pbc="T T T"
Cl -0.069 -0.655 -2.281
Cl 2.368 0.133 -0.110
Ta 0.000 0.000 0.000
P 0.167 -2.396 0.683
Co 2.465 -2.918 -1.708

Q: Which of them is the least stable? A: model one.

Model one:
5
Lattice="4.315 0.000 0.000 0.000 4.315 0.000 0.000 0.000 4.667" Properties=species:S:1:pos:R:3 comment="CoTcP2Cl | Alexandria | PBE-GGA | relaxed" dos_ef_per_ev_fu=3.37 pbc="T T T"
P 0.000 2.158 0.000
P 2.158 0.000 0.000
Tc 2.158 2.158 2.334
Co 0.000 0.000 0.000
Cl 0.000 0.000 2.334

Model two:
5
Lattice="4.517 0.000 0.000 0.000 4.517 0.000 0.000 0.000 5.091" Properties=species:S:1:pos:R:3 comment="CoTcP2Cl | Alexandria | PBE-GGA | relaxed" dos_ef_per_ev_fu=5.08 pbc="T T T"
Co 2.258 2.258 2.545
P 0.000 2.258 0.000
P 2.258 0.000 0.000
Tc 0.000 0.000 0.000
Cl 0.000 0.000 2.545

Q: Which of them is the least stable? A: model one.

Model one:
5
Lattice="-1.765 -4.073 1.640 3.624 -2.350 -1.935 2.471 0.532 3.981" Properties=species:S:1:pos:R:3 comment="TiCoP2Cl | Alexandria | PBE-GGA | relaxed" dos_ef_per_ev_fu=4.56 pbc="T T T"
P 1.812 -1.175 -0.968
P -0.883 -2.037 0.820
Ti 0.000 0.000 0.000
Co 2.164 -2.945 1.843
Cl 1.235 0.266 1.990

Model two:
5
Lattice="4.302 0.000 0.000 0.000 4.302 0.000 0.000 0.000 4.627" Properties=species:S:1:pos:R:3 comment="TiCoP2Cl | Alexandria | PBE-GGA | relaxed" dos_ef_per_ev_fu=5.71 pbc="T T T"
P 0.000 2.151 0.000
P 2.151 0.000 0.000
Ti 2.151 2.151 2.314
Co 0.000 0.000 0.000
Cl 0.000 0.000 2.314

Q: Which of them is the least stable? A: model one.

Model one:
5
Lattice="-0.473 4.260 -3.164 -4.342 1.515 2.689 3.060 2.827 3.348" Properties=species:S:1:pos:R:3 comment="TlCoPCl2 | Alexandria | PBE-GGA | relaxed" dos_ef_per_ev_fu=11.26 pbc="T T T"
P 1.530 1.413 1.674
Tl 0.000 0.000 0.000
Co -0.877 4.301 1.437
Cl -0.236 2.130 -1.582
Cl -2.171 0.758 1.345

Model two:
5
Lattice="-4.485 0.320 2.420 2.163 -1.828 4.249 0.937 3.933 1.216" Properties=species:S:1:pos:R:3 comment="TlCoPCl2 | Alexandria | PBE-GGA | relaxed" dos_ef_per_ev_fu=2.19 pbc="T T T"
Cl 1.081 -0.914 2.124
Cl -2.242 0.160 1.210
Co 0.000 0.000 0.000
Tl -0.693 1.212 3.942
P 0.468 1.966 0.608

Q: Which of them is the least stable? A: model one.

Model one:
5
Lattice="4.194 0.000 0.000 0.000 4.194 0.000 0.000 0.000 8.324" Properties=species:S:1:pos:R:3 comment="TlCoP2Cl | Alexandria | PBE-GGA | relaxed" dos_ef_per_ev_fu=3.04 pbc="T T T"
P 2.097 0.000 0.000
P 0.000 2.097 0.000
Tl 2.097 2.097 4.162
Cl 0.000 0.000 4.162
Co 0.000 0.000 0.000

Model two:
5
Lattice="-3.186 -3.311 0.816 3.996 -3.594 1.017 -0.080 1.188 4.512" Properties=species:S:1:pos:R:3 comment="TlCoP2Cl | Alexandria | PBE-GGA | relaxed" dos_ef_per_ev_fu=6.85 pbc="T T T"
P -0.040 0.594 2.256
P -1.593 -1.655 0.408
Cl 0.000 0.000 0.000
Tl 1.998 -1.797 0.508
Co 0.365 -2.858 3.172

Model three:
5
Lattice="-3.467 -3.480 -1.405 2.520 -3.576 2.639 -2.927 1.155 4.360" Properties=species:S:1:pos:R:3 comment="TlCoP2Cl | Alexandria | PBE-GGA | relaxed" dos_ef_per_ev_fu=3.21 pbc="T T T"
Cl -1.463 0.578 2.180
Co -1.937 -2.951 2.797
P 1.260 -1.788 1.320
P -1.734 -1.740 -0.703
Tl 0.000 0.000 0.000

Q: Which of them is the least stable? A: model three.

Model one:
5
Lattice="-3.836 0.025 1.879 -1.786 -1.377 -3.628 0.636 -4.398 1.357" Properties=species:S:1:pos:R:3 comment="VCoP2Cl | Alexandria | PBE-GGA | relaxed" dos_ef_per_ev_fu=8.15 pbc="T T T"
P -1.918 0.013 0.940
P -0.893 -0.689 -1.814
V -2.493 -2.875 -0.196
Co 0.000 0.000 0.000
Cl 0.318 -2.199 0.678

Model two:
5
Lattice="4.518 0.000 0.000 0.000 4.518 0.000 0.000 0.000 4.765" Properties=species:S:1:pos:R:3 comment="VCoP2Cl | Alexandria | PBE-GGA | relaxed" dos_ef_per_ev_fu=4.88 pbc="T T T"
P 0.000 2.259 0.000
P 2.259 0.000 0.000
V 0.000 0.000 0.000
Co 2.259 2.259 2.382
Cl 0.000 0.000 2.382

Q: Which of them is the least stable? A: model one.

Model one:
5
Lattice="-0.687 0.182 4.589 -3.337 -3.207 -0.373 2.949 -3.134 0.566" Properties=species:S:1:pos:R:3 comment="VCoPCl2 | Alexandria | PBE-GGA | relaxed" dos_ef_per_ev_fu=7.54 pbc="T T T"
Cl -0.344 0.091 2.294
Cl -1.669 -1.604 -0.186
Co 0.000 0.000 0.000
V -0.538 -3.080 2.391
P 1.474 -1.567 0.283

Model two:
5
Lattice="4.508 0.000 0.000 0.000 4.508 0.000 0.000 0.000 4.924" Properties=species:S:1:pos:R:3 comment="VCoPCl2 | Alexandria | PBE-GGA | relaxed" dos_ef_per_ev_fu=7.95 pbc="T T T"
P 0.000 0.000 2.462
Cl 0.000 2.254 0.000
Cl 2.254 0.000 0.000
V 0.000 0.000 0.000
Co 2.254 2.254 2.462

Q: Which of them is the least stable? A: model two.

Model one:
5
Lattice="-2.285 -3.185 -1.923 2.759 0.062 -3.382 2.773 -3.319 2.202" Properties=species:S:1:pos:R:3 comment="YCoP2Cl | Alexandria | PBE-GGA | relaxed" dos_ef_per_ev_fu=3.85 pbc="T T T"
P 1.380 0.031 -1.691
P -1.143 -1.592 -0.961
Cl 1.387 -1.660 1.101
Co 0.000 0.000 0.000
Y 1.624 -3.221 -1.552

Model two:
5
Lattice="-0.431 4.908 2.016 -3.445 1.279 -3.851 -3.875 -1.552 2.951" Properties=species:S:1:pos:R:3 comment="YCoP2Cl | Alexandria | PBE-GGA | relaxed" dos_ef_per_ev_fu=7.11 pbc="T T T"
Cl -1.937 -0.776 1.475
Co -3.875 2.317 0.558
Y 0.000 0.000 0.000
P -0.215 2.454 1.008
P -1.723 0.640 -1.925

Q: Which of them is the least stable? A: model two.

Model one:
5
Lattice="-0.392 -4.653 -0.792 4.134 0.045 -2.310 2.082 -0.807 3.710" Properties=species:S:1:pos:R:3 comment="ZnCoPCl2 | Alexandria | PBE-GGA | relaxed" dos_ef_per_ev_fu=2.14 pbc="T T T"
P 1.041 -0.403 1.855
Co 0.000 0.000 0.000
Cl -0.196 -2.326 -0.396
Cl 2.067 0.023 -1.155
Zn 2.912 -2.707 0.304

Model two:
5
Lattice="-3.809 -0.158 2.670 -1.178 -4.072 -1.921 2.655 -2.485 3.641" Properties=species:S:1:pos:R:3 comment="ZnCoPCl2 | Alexandria | PBE-GGA | relaxed" dos_ef_per_ev_fu=11.76 pbc="T T T"
Cl -1.904 -0.079 1.335
Cl -0.589 -2.036 -0.960
Co -1.166 -3.358 2.195
P 1.328 -1.243 1.820
Zn 0.000 0.000 0.000

Q: Which of them is the least stable? A: model two.

Model one:
5
Lattice="-1.616 3.530 2.015 -2.468 0.870 -3.505 -3.320 -2.500 1.717" Properties=species:S:1:pos:R:3 comment="ZrCoP2Cl | Alexandria | PBE-GGA | relaxed" dos_ef_per_ev_fu=3.85 pbc="T T T"
P -1.234 0.435 -1.752
P -0.808 1.765 1.007
Co 0.000 0.000 0.000
Cl -1.660 -1.250 0.859
Zr -3.702 0.950 0.114

Model two:
5
Lattice="-1.705 -4.293 2.075 0.063 -2.224 -4.549 4.632 -1.463 0.779" Properties=species:S:1:pos:R:3 comment="ZrCoP2Cl | Alexandria | PBE-GGA | relaxed" dos_ef_per_ev_fu=7.25 pbc="T T T"
P 0.031 -1.112 -2.275
P -0.853 -2.147 1.038
Zr 0.000 0.000 0.000
Cl 2.316 -0.732 0.390
Co 1.495 -3.990 -0.847

Q: Which of them is the least stable? A: model two.

Model one:
4
Lattice="-2.068 -4.450 1.354 1.155 -4.734 1.472 -0.523 -3.138 6.694" Properties=species:S:1:pos:R:3 comment="Co2PbCl | Alexandria | PBE-GGA | relaxed" dos_ef_per_ev_fu=3.89 pbc="T T T"
Pb -0.359 -3.081 2.380
Co -0.108 -0.854 0.891
Co -0.610 -5.308 3.869
Cl -1.078 -9.242 7.140

Model two:
4
Lattice="-6.009 -0.071 4.664 -5.028 -3.195 4.731 -3.567 -0.978 6.648" Properties=species:S:1:pos:R:3 comment="Co2PbCl | Alexandria | PBE-GGA | relaxed" dos_ef_per_ev_fu=4.67 pbc="T T T"
Pb -3.651 -1.061 4.011
Co -0.116 -0.034 0.128
Co -7.186 -2.088 7.894
Cl -10.954 -3.183 12.032

Model three:
4
Lattice="-1.777 0.010 -2.626 3.389 -0.348 -2.295 -0.438 -6.087 0.274" Properties=species:S:1:pos:R:3 comment="Co2PbCl | Alexandria | PBE-GGA | relaxed" dos_ef_per_ev_fu=2.72 pbc="T T T"
Cl 1.325 -4.821 -2.828
Co 2.512 -0.678 -1.702
Co 2.352 -2.887 -1.602
Pb -0.151 -1.604 -1.818

Model four:
4
Lattice="0.000 3.218 3.218 3.218 0.000 3.218 3.218 3.218 0.000" Properties=species:S:1:pos:R:3 comment="Co2PbCl | Alexandria | PBE-GGA | relaxed" dos_ef_per_ev_fu=6.41 pbc="T T T"
Cl 0.000 0.000 0.000
Co 4.827 4.827 4.827
Co 1.609 1.609 1.609
Pb 3.218 3.218 3.218

Q: Which of them is the least stable? A: model four.

Model one:
4
Lattice="-2.829 -0.944 -1.000 1.368 -2.166 -1.825 -0.295 -4.346 4.935" Properties=species:S:1:pos:R:3 comment="Co2PbCl | Alexandria | PBE-GGA | relaxed" dos_ef_per_ev_fu=5.27 pbc="T T T"
Cl -0.952 -4.815 2.289
Pb -0.804 -2.642 -0.179
Co -0.284 -4.191 4.759
Co -0.158 -2.329 2.644

Model two:
4
Lattice="3.320 -0.025 0.000 -1.782 2.801 0.000 0.000 0.000 7.911" Properties=species:S:1:pos:R:3 comment="Co2PbCl | Alexandria | PBE-GGA | relaxed" dos_ef_per_ev_fu=6.42 pbc="T T T"
Cl 0.769 1.388 5.933
Co 0.000 0.000 7.733
Co 0.000 0.000 4.134
Pb 0.769 1.388 1.978

Q: Which of them is the least stable? A: model one.